# 1
{
  "formula": "Dy2TlIn",
  "functional": "PBE-GGA",
  "state": "relaxed",
  "magnetic_moment_mub_per_cell": 0.00,
  "e_tot_ev_per_cell": -15.922,
  "formation_enthalpy_0k_mev_per_atom": -403,
  "lattice": [[-1.185, 4.475, 2.665], [-3.194, 3.663, -2.217], [-4.934, 0.746, 1.907]],
  "species": ["Dy", "Dy", "In", "Tl"],
  "frac_coords": [[0.000, 0.000, 0.000], [0.500, 0.500, 0.500], [0.250, 0.250, 0.250], [0.750, 0.750, 0.750]]
}

---

# 2
{
  "formula": "Dy2TlIn2",
  "functional": "PBE-GGA",
  "state": "relaxed",
  "magnetic_moment_mub_per_cell": 0.00,
  "e_tot_ev_per_cell": -18.863,
  "formation_enthalpy_0k_mev_per_atom": -363,
  "lattice": [[-1.281, -0.085, -3.226], [-2.426, -3.927, 1.067], [-4.991, 6.434, 1.812]],
  "species": ["Dy", "Dy", "In", "In", "Tl"],
  "frac_coords": [[0.500, 0.387, 0.774], [0.500, 0.613, 0.226], [0.000, 0.802, 0.604], [0.000, 0.198, 0.396], [0.000, 0.000, 0.000]]
}

---

# 3
{
  "formula": "DyTlIn4",
  "functional": "PBE-GGA",
  "state": "relaxed",
  "magnetic_moment_mub_per_cell": 0.00,
  "e_tot_ev_per_cell": -18.387,
  "formation_enthalpy_0k_mev_per_atom": -77,
  "lattice": [[6.134, 0.000, 0.000], [3.067, 5.312, 0.000], [3.067, 1.771, 5.008]],
  "species": ["In", "In", "In", "In", "Dy", "Tl"],
  "frac_coords": [[0.125, 0.625, 0.625], [0.625, 0.625, 0.625], [0.625, 0.125, 0.625], [0.625, 0.625, 0.125], [0.000, 0.000, 0.000], [0.250, 0.250, 0.250]]
}